[1]
Entry from Alexandria via LeMat-Bulk: a relaxed structure of RbHRh2 (PBE).

```
data_RbHRh2
_cell_length_a 6.458
_cell_length_b 6.458
_cell_length_c 6.458
_cell_angle_alpha 90.00
_cell_angle_beta 90.00
_cell_angle_gamma 90.00
_space_group_name_H-M_alt 'F m -3 m'
_space_group_IT_number 225
_space_group_name_Hall '-F 4 2 3'
loop_
_atom_site_label
_atom_site_fract_x
_atom_site_fract_y
_atom_site_fract_z
Rb1 0.000 0.000 0.000
H1 0.000 0.000 0.500
Rh1 0.250 0.250 0.250
```

Properties
Calculated total energy in eV/atom: -3.102
Energy above the lowest structure with this stoichiometry in kJ/mol of atoms: 123.9
Crystal system: cubic

[2]
Entry from Alexandria via LeMat-Bulk: a relaxed structure of RbH8Rh2 (PBE).

```
data_RbH8Rh2
_cell_length_a 3.524
_cell_length_b 5.405
_cell_length_c 9.775
_cell_angle_alpha 90.00
_cell_angle_beta 90.00
_cell_angle_gamma 90.00
_space_group_name_H-M_alt 'I m m m'
_space_group_IT_number 71
_space_group_name_Hall '-I 2 2'
loop_
_atom_site_label
_atom_site_fract_x
_atom_site_fract_y
_atom_site_fract_z
Rb1 0.000 0.000 0.000
H1 0.000 0.166 0.500
H2 0.000 0.500 0.118
H3 0.250 0.250 0.250
Rh1 0.000 0.000 0.344
```

Properties
Calculated total energy in eV/atom: -3.746
Crystal system: orthorhombic

[3]
Entry from Alexandria via LeMat-Bulk: a relaxed structure of Rb3H9Rh2 (PBE).

```
data_Rb3H9Rh2
_cell_length_a 6.0285
_cell_length_b 6.0285
_cell_length_c 15.0451
_cell_angle_alpha 90.00
_cell_angle_beta 90.00
_cell_angle_gamma 120.00
_space_group_name_H-M_alt 'P 63/m m c'
_space_group_IT_number 194
_space_group_name_Hall '-P 6c 2c'
loop_
_atom_site_label
_atom_site_fract_x
_atom_site_fract_y
_atom_site_fract_z
Rb1 0.0000 0.0000 0.2500
Rb2 0.3333 0.6667 0.0876
H1 0.0736 0.5368 0.7500
H2 0.2174 0.4348 0.5954
Rh1 0.3333 0.6667 0.6655
```

Properties
Calculated total energy in eV/atom: -3.699
Crystal system: hexagonal

[4]
Entry from Alexandria via LeMat-Bulk: a relaxed structure of Rb3HRh (PBE).

```
data_Rb3HRh
_cell_length_a 5.596
_cell_length_b 5.596
_cell_length_c 5.596
_cell_angle_alpha 90.00
_cell_angle_beta 90.00
_cell_angle_gamma 90.00
_space_group_name_H-M_alt 'P m -3 m'
_space_group_IT_number 221
_space_group_name_Hall '-P 4 2 3'
loop_
_atom_site_label
_atom_site_fract_x
_atom_site_fract_y
_atom_site_fract_z
Rb1 0.000 0.000 0.500
H1 0.000 0.000 0.000
Rh1 0.500 0.500 0.500
```

Properties
Calculated total energy in eV/atom: -2.284
Energy above the lowest structure with this stoichiometry in kJ/mol of atoms: 0.0
Crystal system: cubic

[5]
Entry from Alexandria via LeMat-Bulk: a relaxed structure of Rb3H4Rh (PBE).

```
data_Rb3H4Rh
_cell_length_a 5.467
_cell_length_b 6.217
_cell_length_c 9.251
_cell_angle_alpha 90.00
_cell_angle_beta 90.00
_cell_angle_gamma 90.00
_space_group_name_H-M_alt 'I m m m'
_space_group_IT_number 71
_space_group_name_Hall '-I 2 2'
loop_
_atom_site_label
_atom_site_fract_x
_atom_site_fract_y
_atom_site_fract_z
Rb1 0.000 0.000 0.000
Rb2 0.000 0.500 0.232
H1 0.000 0.000 0.315
H2 0.000 0.273 0.500
Rh1 0.000 0.000 0.500
```

Properties
Calculated total energy in eV/atom: -3.153
Crystal system: orthorhombic

[6]
Entry from Alexandria via LeMat-Bulk: a relaxed structure of Rb3H7Rh (PBE).

```
data_Rb3H7Rh
_cell_length_a 7.784
_cell_length_b 8.233
_cell_length_c 5.788
_cell_angle_alpha 90.00
_cell_angle_beta 90.18
_cell_angle_gamma 90.00
_space_group_name_H-M_alt 'C 1 m 1'
_space_group_IT_number 8
loop_
_space_group_symop_operation_xyz
'x,y,z'
'x,-y,z'
'x+1/2,y+1/2,z'
'x+1/2,-y+1/2,z'
loop_
_atom_site_label
_atom_site_fract_x
_atom_site_fract_y
_atom_site_fract_z
Rb1 0.000 0.000 0.000
Rb2 0.210 0.261 0.500
H1 0.124 0.386 0.001
H2 0.384 0.189 0.999
H3 0.450 0.000 0.288
H4 0.453 0.000 0.710
H5 0.471 0.500 0.500
Rh1 0.455 0.000 0.999
```

Properties
Calculated total energy in eV/atom: -3.213
Crystal system: monoclinic

[7]
Entry from Alexandria via LeMat-Bulk: a relaxed structure of Rb2H2Rh (PBE).

```
data_Rb2H2Rh
_cell_length_a 6.257
_cell_length_b 6.257
_cell_length_c 4.858
_cell_angle_alpha 90.00
_cell_angle_beta 90.00
_cell_angle_gamma 90.00
_space_group_name_H-M_alt 'P 4/m b m'
_space_group_IT_number 127
_space_group_name_Hall '-P 4 2ab'
loop_
_atom_site_label
_atom_site_fract_x
_atom_site_fract_y
_atom_site_fract_z
Rb1 0.172 0.328 0.000
H1 0.216 0.716 0.500
Rh1 0.000 0.000 0.500
```

Properties
Calculated total energy in eV/atom: -2.735
Crystal system: tetragonal

[8]
Entry from Alexandria via LeMat-Bulk: a relaxed structure of RbHRu2Rh (PBE).

```
data_RbHRu2Rh
_cell_length_a 4.056
_cell_length_b 4.056
_cell_length_c 4.551
_cell_angle_alpha 90.00
_cell_angle_beta 90.00
_cell_angle_gamma 90.00
_space_group_name_H-M_alt 'P 4/m m m'
_space_group_IT_number 123
_space_group_name_Hall '-P 4 2'
loop_
_atom_site_label
_atom_site_fract_x
_atom_site_fract_y
_atom_site_fract_z
Rb1 0.000 0.000 0.000
H1 0.500 0.500 0.500
Ru1 0.000 0.500 0.500
Rh1 0.500 0.500 0.000
```

Properties
Calculated total energy in eV/atom: -4.821
Crystal system: tetragonal

[9]
Entry from Alexandria via LeMat-Bulk: a relaxed structure of RbH2RhSe (PBE).

```
data_RbH2RhSe
_cell_length_a 4.324
_cell_length_b 4.324
_cell_length_c 4.695
_cell_angle_alpha 90.00
_cell_angle_beta 90.00
_cell_angle_gamma 90.00
_space_group_name_H-M_alt 'P 4/m m m'
_space_group_IT_number 123
_space_group_name_Hall '-P 4 2'
loop_
_atom_site_label
_atom_site_fract_x
_atom_site_fract_y
_atom_site_fract_z
Rb1 0.000 0.000 0.000
H1 0.000 0.500 0.500
Rh1 0.500 0.500 0.000
Se1 0.500 0.500 0.500
```

Properties
Calculated total energy in eV/atom: -3.249
Crystal system: tetragonal

[10]
Entry from Alexandria via LeMat-Bulk: a relaxed structure of RbHRh2Se (PBE).

```
data_RbHRh2Se
_cell_length_a 5.214
_cell_length_b 5.214
_cell_length_c 6.034
_cell_angle_alpha 90.00
_cell_angle_beta 90.00
_cell_angle_gamma 90.00
_space_group_name_H-M_alt 'P 4/m m m'
_space_group_IT_number 123
_space_group_name_Hall '-P 4 2'
loop_
_atom_site_label
_atom_site_fract_x
_atom_site_fract_y
_atom_site_fract_z
Rb1 0.000 0.000 0.000
H1 0.500 0.500 0.500
Rh1 0.000 0.500 0.000
Se1 0.000 0.000 0.500
```

Properties
Calculated total energy in eV/atom: -2.138
Crystal system: tetragonal

[11]
Entry from Alexandria via LeMat-Bulk: a relaxed structure of Rb2SrH6Rh (PBE).

```
data_Rb2SrH6Rh
_cell_length_a 6.1948
_cell_length_b 6.1948
_cell_length_c 6.2437
_cell_angle_alpha 90.00
_cell_angle_beta 90.00
_cell_angle_gamma 120.00
_space_group_name_H-M_alt 'P -3 m 1'
_space_group_IT_number 164
_space_group_name_Hall '-P 3 2"'
loop_
_atom_site_label
_atom_site_fract_x
_atom_site_fract_y
_atom_site_fract_z
Rb1 0.3333 0.6667 0.1246
Sr1 0.0000 0.0000 0.5000
H1 0.1274 0.2549 0.8411
Rh1 0.0000 0.0000 0.0000
```

Properties
Calculated total energy in eV/atom: -3.439
Crystal system: trigonal

[12]
Entry from Alexandria via LeMat-Bulk: a relaxed structure of Rb2ZrHRh (PBE).

```
data_Rb2ZrHRh
_cell_length_a 6.745
_cell_length_b 6.745
_cell_length_c 3.308
_cell_angle_alpha 90.00
_cell_angle_beta 90.00
_cell_angle_gamma 90.00
_space_group_name_H-M_alt 'P 4/m m m'
_space_group_IT_number 123
_space_group_name_Hall '-P 4 2'
loop_
_atom_site_label
_atom_site_fract_x
_atom_site_fract_y
_atom_site_fract_z
Rb1 0.000 0.500 0.000
Zr1 0.000 0.000 0.500
H1 0.500 0.500 0.500
Rh1 0.500 0.500 0.000
```

Properties
Calculated total energy in eV/atom: -3.148
Crystal system: tetragonal

Which of these has the lowest calculated total energy?
RbHRu2Rh

Among the records above, which one has the lowest calculated total energy?
RbHRu2Rh